The following is a PBE calculation of an optimized crystal structure of ErAgN, from Alexandria.

Output
For the energy relative to the elements, uncorrected, the calculation gives -0.702 eV per atom. For the total energy, the calculation gives -5.9481 eV/atom. Its calculated volume is 17.78 Å³ per atom. For the density of states at the Fermi level, the calculation gives 0.28 states/eV/atom. The size of the total moment comes out at 0.00 μB per formula unit.

Cell: 6.3216 5.9098 5.8829 Å, 90.00 103.82 90.00°
Space group P2_1/c (No. 14)
Inequivalent atoms, fractional coordinates:
Er: 0.1298 0.0398 0.2797 x4
Ag: 0.3959 0.6188 0.3035 x4
N: 0.0642 0.7479 0.0173 x4